one | Entry from Alexandria: a relaxed ScBi3S crystal (PBE-GGA).

abc: 5.3582 5.3582 5.3582
angles: 90.00 90.00 90.00
Closest atoms and distances in Å follow each position.
Fractional positions:
Sc1 0.0000 0.0000 0.0000  12 Bi 3.79
Bi1 0.0000 0.5000 0.5000  2 S 2.68
Bi2 0.5000 0.0000 0.5000  2 S 2.68
Bi3 0.5000 0.5000 0.0000  2 S 2.68
S1 0.5000 0.5000 0.5000  6 Bi 2.68

N(E_F) = 3.29 states/eV/f.u.
spin magnetization = 0.000 μB/atom


two | Entry from Alexandria: a relaxed ScBi3S crystal (PBE-GGA).

abc: 5.5449 5.5449 5.5449
angles: 90.00 90.00 90.00
Closest atoms and distances in Å follow each position.
Fractional positions:
Sc1 0.0000 0.0000 0.0000  6 Bi 2.77
Bi1 0.0000 0.0000 0.5000  2 Sc 2.77
Bi2 0.0000 0.5000 0.0000  2 Sc 2.77
Bi3 0.5000 0.0000 0.0000  2 Sc 2.77
S1 0.5000 0.5000 0.5000  12 Bi 3.92

N(E_F) = 6.86 states/eV/f.u.
spin magnetization = 0.237 μB/atom


Each structure's energy above the most stable one, in eV/atom: one 0.000; two 0.224.


one | Entry from Alexandria: a relaxed Bi2SeS crystal (PBE-GGA).

abc: 7.2889 7.2889 7.2889
angles: 90.00 90.00 90.00
Closest atoms and distances in Å follow each position.
Fractional positions:
Bi1 0.2500 0.2500 0.2500  4 S 3.16, 4 Se 3.16
Bi2 0.2500 0.2500 0.7500  4 S 3.16, 4 Se 3.16
Bi3 0.2500 0.7500 0.2500  4 S 3.16, 4 Se 3.16
Bi4 0.2500 0.7500 0.7500  4 S 3.16, 4 Se 3.16
Bi5 0.7500 0.2500 0.2500  4 S 3.16, 4 Se 3.16
Bi6 0.7500 0.2500 0.7500  4 S 3.16, 4 Se 3.16
Bi7 0.7500 0.7500 0.2500  4 S 3.16, 4 Se 3.16
Bi8 0.7500 0.7500 0.7500  4 Se 3.16, 4 S 3.16
Se1 0.0000 0.0000 0.0000  8 Bi 3.16
Se2 0.0000 0.5000 0.5000  8 Bi 3.16
Se3 0.5000 0.0000 0.5000  8 Bi 3.16
Se4 0.5000 0.5000 0.0000  8 Bi 3.16
S1 0.0000 0.0000 0.5000  8 Bi 3.16
S2 0.0000 0.5000 0.0000  8 Bi 3.16
S3 0.5000 0.0000 0.0000  8 Bi 3.16
S4 0.5000 0.5000 0.5000  8 Bi 3.16

N(E_F) = 2.62 states/eV/f.u.
spin magnetization = 0.000 μB/atom


two | Entry from Alexandria: a relaxed Bi2SeS crystal (PBE-GGA).

abc: 7.8373 7.8373 7.1954
angles: 90.00 90.00 90.00
Closest atoms and distances in Å follow each position.
Fractional positions:
Bi1 0.2387 0.2500 0.1250  2 S 2.85, 2 Se 2.97
Bi2 0.2500 0.7387 0.3750  2 S 2.85, 2 Se 2.97
Bi3 0.2500 0.7613 0.8750  2 S 2.85, 2 Se 2.97
Bi4 0.2613 0.2500 0.6250  2 S 2.85, 2 Se 2.97
Bi5 0.7387 0.7500 0.6250  2 S 2.85, 2 Se 2.97
Bi6 0.7500 0.2387 0.8750  2 S 2.85, 2 Se 2.97
Bi7 0.7500 0.2613 0.3750  2 S 2.85, 2 Se 2.97
Bi8 0.7613 0.7500 0.1250  2 S 2.85, 2 Se 2.97
Se1 0.0000 0.0000 0.5000  4 Bi 2.97
Se2 0.0000 0.5000 0.7500  4 Bi 2.97
Se3 0.5000 0.0000 0.2500  4 Bi 2.97
Se4 0.5000 0.5000 0.0000  4 Bi 2.97
S1 0.0000 0.0000 0.0000  4 Bi 2.85
S2 0.0000 0.5000 0.2500  4 Bi 2.85
S3 0.5000 0.0000 0.7500  4 Bi 2.85
S4 0.5000 0.5000 0.5000  4 Bi 2.85

N(E_F) = 1.02 states/eV/f.u.
spin magnetization = 0.000 μB/atom


Each structure's energy above the most stable one, in eV/atom: one 0.093; two 0.000.


one | Entry from Alexandria: a relaxed Bi2SeS crystal (PBE-GGA).

abc: 11.4910 11.4910 6.7637
angles: 101.25 101.25 138.29
Closest atoms and distances in Å follow each position.
Fractional positions:
Bi1 0.0710 0.4597 0.7488  3 S 2.83-2.86, 3 Se 2.84-3.07
Bi2 0.1001 0.2027 0.1776  1 S 2.75
Bi3 0.2027 0.1001 0.6776  1 S 2.75
Bi4 0.4597 0.0710 0.2488  3 S 2.83-2.86, 3 Se 2.84-3.07
Bi5 0.5403 0.9290 0.7512  3 S 2.83-2.86, 3 Se 2.84-3.07
Bi6 0.7973 0.8999 0.3224  1 S 2.75
Bi7 0.8999 0.7973 0.8224  1 S 2.75
Bi8 0.9290 0.5403 0.2512  3 S 2.83-2.86, 3 Se 2.84-3.07
Se1 0.2951 0.7049 0.2500  4 Bi 2.84-3.07
Se2 0.4075 0.5925 0.7500  2 Bi 2.91
Se3 0.5925 0.4075 0.2500  2 Bi 2.91
Se4 0.7049 0.2951 0.7500  4 Bi 2.84-3.07
S1 0.1101 0.8899 0.2500  4 Bi 2.75-2.83
S2 0.2083 0.7917 0.7500  4 Bi 2.83-2.86
S3 0.7917 0.2083 0.2500  4 Bi 2.83-2.86
S4 0.8899 0.1101 0.7500  4 Bi 2.75-2.83

N(E_F) = 0.40 states/eV/f.u.
spin magnetization = 0.000 μB/atom


two | Entry from Alexandria: a relaxed Bi2SeS crystal (PBE-GGA).

abc: 3.8725 3.8725 24.6198
angles: 90.00 90.00 120.00
Closest atoms and distances in Å follow each position.
Fractional positions:
Bi1 0.0000 0.0000 0.0000  3 S 2.91, 3 Se 3.02
Bi2 0.0000 0.0000 0.1730  3 S 3.06, 3 Se 3.16
Bi3 0.3333 0.6667 0.6667  3 S 2.91, 3 Se 3.02
Bi4 0.3333 0.6667 0.8397  3 S 3.06, 3 Se 3.16
Bi5 0.6667 0.3333 0.3333  3 S 2.91, 3 Se 3.02
Bi6 0.6667 0.3333 0.5063  3 S 3.06, 3 Se 3.16
Se1 0.0000 0.0000 0.4157  6 Bi 3.02-3.16
Se2 0.3333 0.6667 0.0824  6 Bi 3.02-3.16
Se3 0.6667 0.3333 0.7490  6 Bi 3.02-3.16
S1 0.0000 0.0000 0.5913  6 Bi 2.91-3.06
S2 0.3333 0.6667 0.2579  6 Bi 2.91-3.06
S3 0.6667 0.3333 0.9246  6 Bi 2.91-3.06

N(E_F) = 1.63 states/eV/f.u.
spin magnetization = 0.000 μB/atom


Each structure's energy above the most stable one, in eV/atom: one 0.000; two 0.038.


one | Entry from Alexandria: a relaxed BiSeS2 crystal (PBE-GGA).

abc: 4.0449 4.0449 24.1869
angles: 90.00 90.00 120.00
Closest atoms and distances in Å follow each position.
Fractional positions:
Bi1 0.0000 0.0000 0.0000  6 S 2.84
Bi2 0.3333 0.6667 0.6667  6 S 2.84
Bi3 0.6667 0.3333 0.3333  6 S 2.84
Se1 0.0000 0.0000 0.5000  2 S 2.41
Se2 0.3333 0.6667 0.1667  2 S 2.41
Se3 0.6667 0.3333 0.8333  2 S 2.41
S1 0.0000 0.0000 0.4005  1 Se 2.41
S2 0.0000 0.0000 0.5995  1 Se 2.41
S3 0.3333 0.6667 0.0671  1 Se 2.41
S4 0.3333 0.6667 0.2662  1 Se 2.41
S5 0.6667 0.3333 0.7338  1 Se 2.41
S6 0.6667 0.3333 0.9329  1 Se 2.41

N(E_F) = 3.93 states/eV/f.u.
spin magnetization = 0.001 μB/atom


two | Entry from Alexandria: a relaxed BiSeS2 crystal (PBE-GGA).

abc: 6.9322 6.9322 6.9322
angles: 90.00 90.00 90.00
Closest atoms and distances in Å follow each position.
Fractional positions:
Bi1 0.0000 0.0000 0.0000  8 S 3.00
Bi2 0.0000 0.5000 0.5000  8 S 3.00
Bi3 0.5000 0.0000 0.5000  8 S 3.00
Bi4 0.5000 0.5000 0.0000  8 S 3.00
Se1 0.0000 0.0000 0.5000  8 S 3.00
Se2 0.0000 0.5000 0.0000  8 S 3.00
Se3 0.5000 0.0000 0.0000  8 S 3.00
Se4 0.5000 0.5000 0.5000  8 S 3.00
S1 0.2500 0.2500 0.2500  4 Se 3.00, 4 Bi 3.00
S2 0.2500 0.2500 0.7500  4 Se 3.00, 4 Bi 3.00
S3 0.2500 0.7500 0.2500  4 Se 3.00, 4 Bi 3.00
S4 0.2500 0.7500 0.7500  4 Se 3.00, 4 Bi 3.00
S5 0.7500 0.2500 0.2500  4 Se 3.00, 4 Bi 3.00
S6 0.7500 0.2500 0.7500  4 Se 3.00, 4 Bi 3.00
S7 0.7500 0.7500 0.2500  4 Se 3.00, 4 Bi 3.00
S8 0.7500 0.7500 0.7500  4 Se 3.00, 4 Bi 3.00

N(E_F) = 3.54 states/eV/f.u.
spin magnetization = 0.000 μB/atom


Each structure's energy above the most stable one, in eV/atom: one 0.000; two 0.310.


one | Entry from Alexandria: a relaxed BiSeS2 crystal (PBE-GGA).

abc: 4.3942 6.8057 8.0390
angles: 81.14 88.34 76.61
Closest atoms and distances in Å follow each position.
Fractional positions:
Bi1 0.2327 0.4749 0.2167  3 Se 2.80-3.04, 1 S 2.90
Bi2 0.7673 0.5251 0.7833  3 Se 2.80-3.04, 1 S 2.90
Se1 0.3141 0.2717 0.9344  3 Bi 2.80-3.04
Se2 0.6859 0.7283 0.0656  3 Bi 2.80-3.04
S1 0.1219 0.8301 0.6689  1 S 1.99
S2 0.2850 0.8134 0.4373  1 S 1.99
S3 0.7150 0.1866 0.5627  1 S 1.99
S4 0.8781 0.1699 0.3311  1 S 1.99

N(E_F) = 0.06 states/eV/f.u.
spin magnetization = 0.000 μB/atom


two | Entry from Alexandria: a relaxed BiSeS2 crystal (PBE-GGA).

abc: 7.3788 7.3788 6.8997
angles: 90.00 90.00 90.00
Closest atoms and distances in Å follow each position.
Fractional positions:
Bi1 0.0000 0.0000 0.0000  4 S 2.81
Bi2 0.0000 0.5000 0.2500  4 S 2.81
Bi3 0.5000 0.0000 0.7500  4 S 2.81
Bi4 0.5000 0.5000 0.5000  4 S 2.81
Se1 0.0000 0.0000 0.5000  4 S 2.68
Se2 0.0000 0.5000 0.7500  4 S 2.68
Se3 0.5000 0.0000 0.2500  4 S 2.68
Se4 0.5000 0.5000 0.0000  4 S 2.68
S1 0.2372 0.2500 0.6250  2 Se 2.68, 2 Bi 2.81
S2 0.2500 0.7372 0.8750  2 Se 2.68, 2 Bi 2.81
S3 0.2500 0.7628 0.3750  2 Se 2.68, 2 Bi 2.81
S4 0.2628 0.2500 0.1250  2 Se 2.68, 2 Bi 2.81
S5 0.7372 0.7500 0.1250  2 Se 2.68, 2 Bi 2.81
S6 0.7500 0.2372 0.3750  2 Se 2.68, 2 Bi 2.81
S7 0.7500 0.2628 0.8750  2 Se 2.68, 2 Bi 2.81
S8 0.7628 0.7500 0.6250  2 Se 2.68, 2 Bi 2.81

N(E_F) = 3.07 states/eV/f.u.
spin magnetization = 0.000 μB/atom


Each structure's energy above the most stable one, in eV/atom: one 0.000; two 0.334.


one | Entry from Alexandria: a relaxed BiSe2S crystal (PBE-GGA).

abc: 7.3244 7.3244 8.0021
angles: 90.00 90.00 90.00
Closest atoms and distances in Å follow each position.
Fractional positions:
Bi1 0.0000 0.0000 0.0000  4 Se 2.89
Bi2 0.0000 0.5000 0.2500  4 Se 2.89
Bi3 0.5000 0.0000 0.7500  4 Se 2.89
Bi4 0.5000 0.5000 0.5000  4 Se 2.89
Se1 0.2265 0.2500 0.6250  2 S 2.67, 2 Bi 2.89
Se2 0.2500 0.7265 0.8750  2 S 2.67, 2 Bi 2.89
Se3 0.2500 0.7735 0.3750  2 S 2.67, 2 Bi 2.89
Se4 0.2735 0.2500 0.1250  2 S 2.67, 2 Bi 2.89
Se5 0.7265 0.7500 0.1250  2 S 2.67, 2 Bi 2.89
Se6 0.7500 0.2265 0.3750  2 S 2.67, 2 Bi 2.89
Se7 0.7500 0.2735 0.8750  2 S 2.67, 2 Bi 2.89
Se8 0.7735 0.7500 0.6250  2 S 2.67, 2 Bi 2.89
S1 0.0000 0.0000 0.5000  4 Se 2.67
S2 0.0000 0.5000 0.7500  4 Se 2.67
S3 0.5000 0.0000 0.2500  4 Se 2.67
S4 0.5000 0.5000 0.0000  4 Se 2.67

N(E_F) = 2.99 states/eV/f.u.
spin magnetization = 0.000 μB/atom


two | Entry from Alexandria: a relaxed BiSe2S crystal (PBE-GGA).

abc: 3.6557 3.6557 27.1991
angles: 90.00 90.00 120.00
Closest atoms and distances in Å follow each position.
Fractional positions:
Bi1 0.0000 0.0000 0.0000  2 Se 2.96
Bi2 0.3333 0.6667 0.6667  2 Se 2.96
Bi3 0.6667 0.3333 0.3333  2 Se 2.96
Se1 0.0000 0.0000 0.1090  3 S 2.63
Se2 0.0000 0.0000 0.8910  3 S 2.63
Se3 0.3333 0.6667 0.5577  3 S 2.63
Se4 0.3333 0.6667 0.7757  3 S 2.63
Se5 0.6667 0.3333 0.2243  3 S 2.63
Se6 0.6667 0.3333 0.4423  3 S 2.63
S1 0.0000 0.0000 0.5000  6 Se 2.63
S2 0.3333 0.6667 0.1667  6 Se 2.63
S3 0.6667 0.3333 0.8333  6 Se 2.63

N(E_F) = 1.95 states/eV/f.u.
spin magnetization = 0.000 μB/atom


Each structure's energy above the most stable one, in eV/atom: one 0.000; two 0.116.